10
Lattice="4.004 0.000 0.000 0.000 4.004 0.000 0.000 0.000 7.944" Properties=species:S:1:pos:R:3 comment="KNaW2O6, relaxed, DFT PBE with a Hubbard U" spacegroup="No. 123" total_magnetization_mub_per_fu=2.00 energy_ev_per_atom=-6.633 pbc="T T T"
K 0.000 0.000 0.000
Na 0.000 0.000 3.972
W 2.002 2.002 2.003
W 2.002 2.002 5.941
O 0.000 2.002 2.025
O 0.000 2.002 5.919
O 2.002 0.000 2.025
O 2.002 0.000 5.919
O 2.002 2.002 0.000
O 2.002 2.002 3.972